BC | PBE | relaxed

Cell and atoms, written as POSCAR:
```
BC
1.0
-2.888 -11.289 5.823
-0.474 -12.018 5.001
-0.791 -10.753 7.310
B C
5 5
direct
0.794 0.782 0.795
0.613 0.601 0.613
0.377 0.403 0.377
0.748 0.738 0.747
0.231 0.221 0.232
0.128 0.119 0.128
0.956 0.966 0.956
0.567 0.562 0.567
0.994 0.006 0.994
0.341 0.353 0.341
```

## Properties
Energy relative to the lowest polymorph listed for this composition = 242 meV/atom
Total moment = 0.000 μB per atom
SG = No. 8

B7C5 | PBE | relaxed

Cell and atoms, written as POSCAR:
```
B7C5
1.0
-2.367 2.792 -4.333
-4.194 3.046 -2.303
7.011 2.886 5.952
B C
7 5
direct
0.750 0.750 0.345
0.424 0.424 0.378
0.312 0.312 0.158
0.094 0.094 0.017
0.732 0.732 0.003
0.413 0.413 0.677
0.078 0.078 0.692
0.204 0.204 0.235
0.631 0.631 0.800
0.532 0.532 0.896
0.971 0.971 0.484
0.861 0.861 0.565
```

## Properties
Energy relative to the lowest polymorph listed for this composition = 176 meV/atom
Total moment = 0.000 μB per atom
SG = No. 8

B3C | PBE | relaxed

Cell and atoms, written as POSCAR:
```
B3C
1.0
-3.221 0.829 -0.313
-1.581 -4.067 -0.523
-0.263 1.192 5.667
B C
9 3
direct
0.943 0.048 0.961
0.271 0.968 0.694
0.279 0.356 0.888
0.530 0.277 0.595
0.684 0.687 0.691
0.978 0.710 0.430
0.043 0.127 0.475
0.241 0.867 0.205
0.318 0.300 0.320
0.585 0.317 0.100
0.678 0.658 0.172
0.950 0.686 0.970
```

## Properties
Energy relative to the lowest polymorph listed for this composition = 262 meV/atom
Total moment = 0.000 μB per atom
SG = No. 1

B7C5 | PBE | relaxed

Cell and atoms, written as POSCAR:
```
B7C5
1.0
-1.798 -0.377 3.777
-1.847 -3.796 0.904
5.207 -0.554 0.582
B C
7 5
direct
0.979 0.049 0.999
0.251 0.795 0.259
0.355 0.269 0.149
0.731 0.638 0.341
0.963 0.034 0.504
0.248 0.740 0.750
0.349 0.241 0.656
0.534 0.080 0.404
0.913 0.473 0.609
0.573 0.063 0.909
0.696 0.645 0.837
0.907 0.474 0.084
```

## Properties
Energy relative to the lowest polymorph listed for this composition = 228 meV/atom
Total moment = 0.000 μB per atom
SG = No. 1